a.
This record from Alexandria via LeMat-Bulk describes a relaxed PmTm2Pb3 crystal. The functional is PBE.

Its density is 10.73 g/cm3. The magnetic moment comes out at 0.0 Bohr magnetons per cell.

The space group is C2/c (No. 15) and the conventional cell measures 16.942, 6.420 and 6.397 Å, with angles of 90.00, 100.83 and 90.00 degrees. The asymmetric unit holds Pm at (0.000, 0.127, 0.250), Tm at (0.166, 0.377, 0.078), Pb at (0.000, 0.375, 0.750) and Pb at (0.170, 0.123, 0.587).

b.
This record from Alexandria via LeMat-Bulk describes a relaxed PmTm2Pb3 crystal. The functional is PBE.

Its density is 10.43 g/cm3. The magnetic moment comes out at 0.0 Bohr magnetons per cell.

The space group is C2/m (No. 12) and the conventional cell measures 5.835, 14.323 and 8.606 Å, with angles of 90.00, 102.01 and 90.00 degrees. The asymmetric unit holds Pm at (0.000, 0.163, 0.000), Tm at (0.000, 0.172, 0.500), Tm at (0.000, 0.500, 0.000), Tm at (0.000, 0.500, 0.500), Pb at (0.005, 0.000, 0.739) and Pb at (0.017, 0.336, 0.252).

The most stable arrangement is a, and the next structure is 4.6 kJ/mol of atoms less stable.

a.
This record from Alexandria via LeMat-Bulk describes a relaxed Pm2YPb3 crystal. The functional is PBE.

Its density is 9.49 g/cm3. The magnetic moment comes out at 0.0 Bohr magnetons per cell.

The space group is P2/m (No. 10) and the conventional cell measures 5.793, 7.197 and 8.439 Å, with angles of 90.00, 95.48 and 90.00 degrees. The asymmetric unit holds Pm at (0.000, 0.000, 0.000), Pm at (0.000, 0.500, 0.000), Pm at (0.335, 0.000, 0.668), Y at (0.338, 0.500, 0.668), Pb at (0.165, 0.256, 0.337) and Pb at (0.500, 0.254, 0.000).

b.
This record from Alexandria via LeMat-Bulk describes a relaxed Pm2YPb3 crystal. The functional is PBE.

Its density is 8.71 g/cm3. The magnetic moment comes out at 0.0 Bohr magnetons per cell.

The space group is C2/c (No. 15) and the conventional cell measures 16.382, 6.407 and 7.459 Å, with angles of 90.00, 103.09 and 90.00 degrees. The asymmetric unit holds Pm at (0.167, 0.003, 0.084), Y at (0.000, 0.492, 0.750), Pb at (0.000, 0.008, 0.250) and Pb at (0.164, 0.497, 0.582).

The most stable arrangement is a, and the next structure is 5.0 kJ/mol of atoms less stable.

a.
This record from Alexandria via LeMat-Bulk describes a relaxed Pm2Y3Pb4 crystal. The functional is PBE.

Its density is 8.18 g/cm3. The magnetic moment comes out at 0.0 Bohr magnetons per cell.

The space group is Cmce (No. 64) and the conventional cell measures 7.182, 17.292 and 9.054 Å, with angles of 90.00, 90.00 and 90.00 degrees. The asymmetric unit holds Pm at (0.000, 0.112, 0.091), Y at (0.000, 0.000, 0.500), Y at (0.250, 0.206, 0.750), Pb at (0.000, 0.187, 0.445) and Pb at (0.250, 0.029, 0.750).

b.
This record from Alexandria via LeMat-Bulk describes a relaxed Pm2Y3Pb4 crystal. The functional is PBE.

Its density is 8.36 g/cm3. The magnetic moment comes out at 0.0 Bohr magnetons per cell.

The space group is C2/m (No. 12) and the conventional cell measures 17.013, 4.887 and 6.806 Å, with angles of 90.00, 103.31 and 90.00 degrees. The asymmetric unit holds Pm at (0.167, 0.000, 0.080), Y at (0.000, 0.500, 0.000), Y at (0.110, 0.500, 0.573), Pb at (0.005, 0.000, 0.281) and Pb at (0.242, 0.000, 0.673).

The most stable arrangement is b, and the next structure is 1.2 kJ/mol of atoms less stable.

a.
This record from Alexandria via LeMat-Bulk describes a relaxed Pm2YPb2 crystal. The functional is PBE.

Its density is 8.33 g/cm3. The magnetic moment comes out at 0.0 Bohr magnetons per cell.

The space group is Cmc2_1 (No. 36) and the conventional cell measures 5.115, 18.674 and 6.619 Å, with angles of 90.00, 90.00 and 90.00 degrees. The asymmetric unit holds Pm at (0.000, 0.000, 0.000), Pm at (0.000, 0.192, 0.249), Y at (0.000, 0.396, 0.250), Pb at (0.000, 0.192, 0.749) and Pb at (0.000, 0.424, 0.750).

b.
This record from Alexandria via LeMat-Bulk describes a relaxed Pm2YPb2 crystal. The functional is PBE.

Its density is 8.46 g/cm3. The magnetic moment comes out at 0.0 Bohr magnetons per cell.

The space group is P4/mbm (No. 127) and the conventional cell measures 8.281, 8.281 and 4.542 Å, with angles of 90.00, 90.00 and 90.00 degrees. The asymmetric unit holds Pm at (0.168, 0.332, 0.000), Y at (0.000, 0.000, 0.500) and Pb at (0.137, 0.637, 0.500).

The most stable arrangement is b, and the next structure is 4.3 kJ/mol of atoms less stable.